[1]
Entry from the Alexandria database: an optimized crystal structure of Hf2ZnBi (PBE-GGA).

Results
- Energy relative to the lowest polymorph listed for this composition: 165 meV per atom
- Formation enthalpy at 0 K: 0.1451 eV per atom
- Space-group type: I-42d (122)

a = 7.7049 Å, b = 7.7049 Å, c = 6.2400 Å
α = 51.87°, β = 51.87°, γ = 90.00°
Fractional coordinates of all 8 atoms:
1 Zn 0.5000 0.5000 0.0000
2 Zn 0.2500 0.7500 0.5000
3 Hf 0.6070 0.1250 0.2500
4 Hf 0.1430 0.6250 0.2500
5 Hf 0.3750 0.3930 0.7500
6 Hf 0.8750 0.8570 0.7500
7 Bi 0.0000 0.0000 0.0000
8 Bi 0.7500 0.2500 0.5000

---

[2]
Entry from the Alexandria database: an optimized crystal structure of Sr2LaNdS4 (PBE-GGA).

Results
- Formation energy without anion corrections: -16.64 eV per formula unit
- Space-group type: P2/m (10)

a = 4.1599 Å, b = 7.3333 Å, c = 7.1998 Å
α = 70.90°, β = 90.00°, γ = 90.00°
Fractional coordinates of all 8 atoms:
1 Sr 0.0000 0.0000 0.0000
2 Sr 0.5000 0.0000 0.5000
3 La 0.5000 0.5000 0.0000
4 Nd 0.0000 0.5000 0.5000
5 S 0.0000 0.7433 0.7496
6 S 0.0000 0.2567 0.2504
7 S 0.5000 0.7418 0.2549
8 S 0.5000 0.2582 0.7451

---

[3]
Entry from the Alexandria database: an optimized crystal structure of Tb3Sc2Zn2 (PBE-GGA).

Results
- Formation enthalpy at 0 K: -0.0771 eV per atom
- Space-group type: Cmmm (65)

a = 3.5165 Å, b = 3.4191 Å, c = 14.8882 Å
α = 90.00°, β = 83.22°, γ = 90.00°
Fractional coordinates of all 7 atoms:
1 Tb 0.8744 0.0000 0.2513
2 Tb 0.0000 0.0000 0.0000
3 Tb 0.1256 0.0000 0.7487
4 Sc 0.7049 0.5000 0.5901
5 Sc 0.2951 0.5000 0.4099
6 Zn 0.5621 0.5000 0.8757
7 Zn 0.4379 0.5000 0.1243

---

[4]
Entry from the Alexandria database: an optimized crystal structure of TaHOs2W (PBE-GGA).

Results
- Energy: -10.08 eV/atom
- Space-group type: P4/mmm (123)

a = 3.9954 Å, b = 3.9954 Å, c = 4.0518 Å
α = 90.00°, β = 90.00°, γ = 90.00°
Fractional coordinates of all 5 atoms:
1 H 0.0000 0.0000 0.0000
2 Os 0.0000 0.5000 0.0000
3 Os 0.5000 0.0000 0.0000
4 W 0.5000 0.5000 0.5000
5 Ta 0.0000 0.0000 0.5000

---

no.,size of the total moment (μB/f.u.)
1,0.00
2,0.00
3,1.15
4,0.00